1.
# Mn2AlAs (PBE-GGA, optimized geometry)
# - E above lowest polymorph: 109.4 meV/atom
# - Calculated formation energy: 0.0223 eV/atom
data_Mn2AlAs
_space_group_name_H-M_alt 'P 1 m 1'
_space_group_IT_number 6
_cell_length_a 2.7750
_cell_length_b 4.4172
_cell_length_c 4.8202
_cell_angle_alpha 90.00
_cell_angle_beta 106.32
_cell_angle_gamma 90.00
loop_
_space_group_symop_operation_xyz
'x,y,z'
'x,-y,z'
loop_
_atom_site_label
_atom_site_type_symbol
_atom_site_fract_x
_atom_site_fract_y
_atom_site_fract_z
_atom_site_occupancy
Mn1 Mn 0.0000 0.0000 0.0000 1
Mn2 Mn 0.3548 0.5000 0.7314 1
Al1 Al 0.6256 0.5000 0.2525 1
As1 As 0.2739 0.0000 0.5441 1


2.
# MnAlAs3 (PBE-GGA, optimized geometry)
# - E above lowest polymorph: 0.0 meV/atom
# - Calculated formation energy: 0.4450 eV/atom
data_MnAlAs3
_space_group_name_H-M_alt 'P m -3 m'
_space_group_IT_number 221
_space_group_name_Hall '-P 4 2 3'
_cell_length_a 4.6270
_cell_length_b 4.6270
_cell_length_c 4.6270
_cell_angle_alpha 90.00
_cell_angle_beta 90.00
_cell_angle_gamma 90.00
loop_
_atom_site_label
_atom_site_type_symbol
_atom_site_fract_x
_atom_site_fract_y
_atom_site_fract_z
_atom_site_occupancy
Mn1 Mn 0.0000 0.0000 0.0000 1
Al1 Al 0.5000 0.5000 0.5000 1
As1 As 0.0000 0.0000 0.5000 1


3.
# Mn2AlAs (PBE-GGA, optimized geometry)
# - E above lowest polymorph: 290.3 meV/atom
# - Calculated formation energy: 0.2032 eV/atom
data_Mn2AlAs
_space_group_name_H-M_alt 'I -4 2 d'
_space_group_IT_number 122
_space_group_name_Hall 'I -4 2bw'
_cell_length_a 6.8454
_cell_length_b 6.8454
_cell_length_c 5.3748
_cell_angle_alpha 90.00
_cell_angle_beta 90.00
_cell_angle_gamma 90.00
loop_
_atom_site_label
_atom_site_type_symbol
_atom_site_fract_x
_atom_site_fract_y
_atom_site_fract_z
_atom_site_occupancy
Mn1 Mn 0.2345 0.7500 0.1250 1
Al1 Al 0.0000 0.0000 0.5000 1
As1 As 0.0000 0.0000 0.0000 1


4.
# Mn2AlAs (PBE-GGA, optimized geometry)
# - E above lowest polymorph: 74.1 meV/atom
# - Calculated formation energy: -0.0130 eV/atom
data_Mn2AlAs
_space_group_name_H-M_alt 'C 1 2/m 1'
_space_group_IT_number 12
_cell_length_a 5.4455
_cell_length_b 7.1875
_cell_length_c 2.8226
_cell_angle_alpha 90.00
_cell_angle_beta 95.92
_cell_angle_gamma 90.00
loop_
_space_group_symop_operation_xyz
'x,y,z'
'-x,-y,-z'
'-x,y,-z'
'x,-y,z'
'x+1/2,y+1/2,z'
'-x+1/2,-y+1/2,-z'
'-x+1/2,y+1/2,-z'
'x+1/2,-y+1/2,z'
loop_
_atom_site_label
_atom_site_type_symbol
_atom_site_fract_x
_atom_site_fract_y
_atom_site_fract_z
_atom_site_occupancy
Mn1 Mn 0.2500 0.2500 0.0000 1
Al1 Al 0.0000 0.0000 0.5000 1
As1 As 0.0000 0.5000 0.5000 1


5.
# MnAl2As (PBE-GGA, optimized geometry)
# - Calculated formation energy: 0.0264 eV/atom
data_MnAl2As
_space_group_name_H-M_alt 'I 4/m m m'
_space_group_IT_number 139
_space_group_name_Hall '-I 4 2'
_cell_length_a 3.8326
_cell_length_b 3.8326
_cell_length_c 8.3027
_cell_angle_alpha 90.00
_cell_angle_beta 90.00
_cell_angle_gamma 90.00
loop_
_atom_site_label
_atom_site_type_symbol
_atom_site_fract_x
_atom_site_fract_y
_atom_site_fract_z
_atom_site_occupancy
Mn1 Mn 0.0000 0.0000 0.0000 1
Al1 Al 0.0000 0.5000 0.2500 1
As1 As 0.0000 0.0000 0.5000 1


6.
# Mn2AlAs (PBE-GGA, optimized geometry)
# - E above lowest polymorph: 97.8 meV/atom
# - Calculated formation energy: 0.0107 eV/atom
data_Mn2AlAs
_space_group_name_H-M_alt 'F m -3 m'
_space_group_IT_number 225
_space_group_name_Hall '-F 4 2 3'
_cell_length_a 5.8374
_cell_length_b 5.8374
_cell_length_c 5.8374
_cell_angle_alpha 90.00
_cell_angle_beta 90.00
_cell_angle_gamma 90.00
loop_
_atom_site_label
_atom_site_type_symbol
_atom_site_fract_x
_atom_site_fract_y
_atom_site_fract_z
_atom_site_occupancy
Mn1 Mn 0.2500 0.2500 0.2500 1
Al1 Al 0.0000 0.0000 0.0000 1
As1 As 0.0000 0.0000 0.5000 1


7.
# Mn2AlAs (PBE-GGA, optimized geometry)
# - E above lowest polymorph: 66.8 meV/atom
# - Calculated formation energy: -0.0203 eV/atom
data_Mn2AlAs
_space_group_name_H-M_alt 'I 4/m m m'
_space_group_IT_number 139
_space_group_name_Hall '-I 4 2'
_cell_length_a 3.8316
_cell_length_b 3.8316
_cell_length_c 7.3960
_cell_angle_alpha 90.00
_cell_angle_beta 90.00
_cell_angle_gamma 90.00
loop_
_atom_site_label
_atom_site_type_symbol
_atom_site_fract_x
_atom_site_fract_y
_atom_site_fract_z
_atom_site_occupancy
Mn1 Mn 0.0000 0.5000 0.2500 1
Al1 Al 0.0000 0.0000 0.0000 1
As1 As 0.0000 0.0000 0.5000 1


8.
# MnAl2As (PBE-GGA, optimized geometry)
# - Calculated formation energy: 0.0117 eV/atom
data_MnAl2As
_space_group_name_H-M_alt 'R 3 m'
_space_group_IT_number 160
_space_group_name_Hall 'R 3 -2"'
_cell_length_a 3.0605
_cell_length_b 3.0605
_cell_length_c 23.4028
_cell_angle_alpha 90.00
_cell_angle_beta 90.00
_cell_angle_gamma 120.00
loop_
_atom_site_label
_atom_site_type_symbol
_atom_site_fract_x
_atom_site_fract_y
_atom_site_fract_z
_atom_site_occupancy
Mn1 Mn 0.0000 0.0000 0.0000 1
Al1 Al 0.0000 0.0000 0.5069 1
Al2 Al 0.0000 0.0000 0.7468 1
As1 As 0.0000 0.0000 0.2639 1


no.,mass density (g/cm3),E (eV/atom)
1,6.20,-6.661
2,5.14,-4.927
3,5.59,-6.480
4,6.40,-6.696
5,5.01,-5.300
6,7.07,-6.672
7,6.48,-6.703
8,4.82,-5.314